[1]
BiPS2Cl: relaxed, PBE.

a b c (Å): 4.847 4.847 4.574
angles (deg): 90.00 90.00 90.00
Atoms (fractional coordinates):
Bi 0.000 0.000 0.000
P 0.500 0.500 0.000
S 0.000 0.500 0.500
S 0.500 0.000 0.500
Cl 0.500 0.500 0.500

Formation energy (no corrections)   0.89 eV/atom
Energy above the lowest structure with this stoichiometry   760.0 meV per atom



[2]
TiTlSeO5: relaxed, PBE.

a b c (Å): 6.054 6.054 7.408
angles (deg): 105.10 105.10 105.22
Atoms (fractional coordinates):
Ti 0.000 0.000 0.000
Ti 0.000 0.000 0.500
Tl 0.325 0.675 0.750
Tl 0.675 0.325 0.250
Se 0.309 0.691 0.250
Se 0.691 0.309 0.750
O 0.048 0.952 0.750
O 0.107 0.715 0.389
O 0.211 0.377 0.096
O 0.285 0.893 0.111
O 0.377 0.211 0.596
O 0.623 0.789 0.404
O 0.715 0.107 0.889
O 0.789 0.623 0.904
O 0.893 0.285 0.611
O 0.952 0.048 0.250

Formation energy (no corrections)   -1.37 eV/atom



[3]
ZnOs5: relaxed, PBE.

a b c (Å): 4.991 4.991 4.620
angles (deg): 90.00 90.00 120.00
Atoms (fractional coordinates):
Zn 0.000 0.000 0.000
Os 0.000 0.500 0.500
Os 0.333 0.667 0.000
Os 0.500 0.000 0.500
Os 0.500 0.500 0.500
Os 0.667 0.333 0.000

Energy above the lowest structure with this stoichiometry   718.2 meV per atom
DFT formation energy   862 meV per atom



Number 1: magnetic moment 0.00 μB per formula unit. Number 2: magnetic moment 0.00 μB per formula unit. Number 3: magnetic moment 0.00 μB per formula unit.